TiMnP2O8: relaxed, GGA+U.

Structure (extended XYZ):
```
36
Lattice="8.674 -0.002 -0.001 4.319 7.522 -0.001 4.319 2.500 7.095" Properties=species:S:1:pos:R:3 pbc="T T T"
Ti 11.204 6.485 4.590
Ti 14.812 8.573 6.068
Ti 6.094 3.527 2.497
Mn 0.051 0.029 0.021
Mn 2.513 1.454 1.029
Mn 8.682 5.025 3.557
P 9.928 7.771 1.754
P 8.620 6.498 6.746
P 11.684 3.230 3.885
P 5.588 6.742 3.277
P 8.630 3.585 0.313
P 7.407 2.190 5.269
O 5.317 4.023 0.855
O 4.508 3.543 3.509
O 6.137 1.674 2.174
O 10.855 7.330 0.575
O 8.473 7.790 1.409
O 10.120 6.722 2.901
O 7.991 7.929 6.721
O 9.351 6.299 5.375
O 6.183 7.624 4.422
O 10.869 4.541 4.154
O 5.434 7.469 1.947
O 9.691 4.690 0.005
O 7.618 5.395 6.879
O 11.763 2.458 5.243
O 6.514 5.495 3.153
O 10.976 2.481 2.801
O 8.009 3.942 1.697
O 9.183 2.166 0.288
O 7.408 3.257 4.134
O 8.894 2.022 5.720
O 6.452 2.560 6.396
O 11.276 8.355 4.680
O 12.861 6.281 3.740
O 11.852 6.195 6.323
```

Calculated values
**Final energy**: -0.5793 Ry per atom
**Space-group type**: No. 146
**Offset from the most stable computed form**: 0.0 meV/atom
**Theoretical density**: 3.15 g/cm3